Entry a
VASP calculation (PBE) on a relaxed TbY2Er5 crystal.

The structure in CIF format:
```
data_TbY2Er5
_chemical_formula_sum 'Tb2 Y4 Er10'
_space_group_name_H-M_alt 'P 1'
_space_group_IT_number 1
_cell_length_a 7.0598
_cell_length_b 14.1218
_cell_length_c 4.9833
_cell_angle_alpha 90.00
_cell_angle_beta 90.00
_cell_angle_gamma 90.00
loop_
_space_group_symop_operation_xyz
'x,y,z'
loop_
_atom_site_label
_atom_site_type_symbol
_atom_site_fract_x
_atom_site_fract_y
_atom_site_fract_z
Tb1 Tb 0.0000 0.0000 0.0000
Tb2 Tb 0.5000 0.5000 0.0000
Y1 Y 0.2498 0.1253 0.5000
Y2 Y 0.2502 0.6253 0.5000
Y3 Y 0.7498 0.3747 0.5000
Y4 Y 0.7502 0.8747 0.5000
Er1 Er 0.9996 0.2503 0.0000
Er2 Er 0.0000 0.5000 0.0000
Er3 Er 0.0004 0.7497 0.0000
Er4 Er 0.2496 0.3747 0.5000
Er5 Er 0.2504 0.8747 0.5000
Er6 Er 0.5000 0.0000 0.0000
Er7 Er 0.4996 0.2497 0.0000
Er8 Er 0.5004 0.7503 0.0000
Er9 Er 0.7496 0.1253 0.5000
Er10 Er 0.7504 0.6253 0.5000
```


Entry b
VASP calculation (PBE) on a relaxed TbY2Er5 crystal.

The structure in CIF format:
```
data_TbY2Er5
_chemical_formula_sum 'Tb2 Y4 Er10'
_space_group_name_H-M_alt 'P 1'
_space_group_IT_number 1
_cell_length_a 8.5647
_cell_length_b 8.5647
_cell_length_c 11.3718
_cell_angle_alpha 90.00
_cell_angle_beta 90.00
_cell_angle_gamma 141.83
loop_
_space_group_symop_operation_xyz
'x,y,z'
loop_
_atom_site_label
_atom_site_type_symbol
_atom_site_fract_x
_atom_site_fract_y
_atom_site_fract_z
Tb1 Tb 0.2268 0.7732 0.7500
Tb2 Tb 0.7732 0.2268 0.2500
Y1 Y 0.2122 0.7878 0.0811
Y2 Y 0.2122 0.7878 0.4189
Y3 Y 0.7878 0.2122 0.5811
Y4 Y 0.7878 0.2122 0.9189
Er1 Er 0.0445 0.9555 0.6121
Er2 Er 0.0445 0.9555 0.8879
Er3 Er 0.3956 0.6044 0.2500
Er4 Er 0.4129 0.5871 0.5779
Er5 Er 0.4129 0.5871 0.9221
Er6 Er 0.5871 0.4129 0.0779
Er7 Er 0.5871 0.4129 0.4221
Er8 Er 0.6044 0.3956 0.7500
Er9 Er 0.9555 0.0445 0.1121
Er10 Er 0.9555 0.0445 0.3879
```


Most stable to least stable, the ends of the list are entry a and entry b.


Entry a
VASP calculation (PBE) on a relaxed Tb3ErZn2 crystal.

The structure in CIF format:
```
data_Tb3ErZn2
_chemical_formula_sum 'Tb3 Er1 Zn2'
_space_group_name_H-M_alt 'P 1'
_space_group_IT_number 1
_cell_length_a 3.5778
_cell_length_b 3.5778
_cell_length_c 12.1203
_cell_angle_alpha 90.00
_cell_angle_beta 90.00
_cell_angle_gamma 90.00
loop_
_space_group_symop_operation_xyz
'x,y,z'
loop_
_atom_site_label
_atom_site_type_symbol
_atom_site_fract_x
_atom_site_fract_y
_atom_site_fract_z
Tb1 Tb 0.0000 0.0000 0.0000
Tb2 Tb 0.0000 0.0000 0.2925
Tb3 Tb 0.0000 0.0000 0.7075
Er1 Er 0.5000 0.5000 0.5000
Zn1 Zn 0.5000 0.5000 0.1459
Zn2 Zn 0.5000 0.5000 0.8541
```


Entry b
VASP calculation (PBE) on a relaxed Tb3ErZn2 crystal.

The structure in CIF format:
```
data_Tb3ErZn2
_chemical_formula_sum 'Tb6 Er2 Zn4'
_space_group_name_H-M_alt 'P 1'
_space_group_IT_number 1
_cell_length_a 5.0424
_cell_length_b 9.0948
_cell_length_c 6.7211
_cell_angle_alpha 90.00
_cell_angle_beta 90.00
_cell_angle_gamma 90.00
loop_
_space_group_symop_operation_xyz
'x,y,z'
loop_
_atom_site_label
_atom_site_type_symbol
_atom_site_fract_x
_atom_site_fract_y
_atom_site_fract_z
Tb1 Tb 0.0000 0.0553 0.0000
Tb2 Tb 0.0000 0.3289 0.3433
Tb3 Tb 0.0000 0.6711 0.8433
Tb4 Tb 0.0000 0.9447 0.5000
Tb5 Tb 0.5000 0.1755 0.6826
Tb6 Tb 0.5000 0.8245 0.1826
Er1 Er 0.5000 0.4447 0.0285
Er2 Er 0.5000 0.5553 0.5285
Zn1 Zn 0.0000 0.3497 0.7899
Zn2 Zn 0.0000 0.6503 0.2899
Zn3 Zn 0.5000 0.1515 0.2379
Zn4 Zn 0.5000 0.8485 0.7379
```


Most stable to least stable, the ends of the list are entry b and entry a.


Entry a
VASP calculation (PBE) on a relaxed TbEr4Zn crystal.

The structure in CIF format:
```
data_TbEr4Zn
_chemical_formula_sum 'Tb1 Er4 Zn1'
_space_group_name_H-M_alt 'P 1'
_space_group_IT_number 1
_cell_length_a 3.5210
_cell_length_b 3.5210
_cell_length_c 13.5960
_cell_angle_alpha 90.00
_cell_angle_beta 90.00
_cell_angle_gamma 90.00
loop_
_space_group_symop_operation_xyz
'x,y,z'
loop_
_atom_site_label
_atom_site_type_symbol
_atom_site_fract_x
_atom_site_fract_y
_atom_site_fract_z
Tb1 Tb 0.0000 0.0000 0.0000
Er1 Er 0.0000 0.0000 0.3700
Er2 Er 0.0000 0.0000 0.6300
Er3 Er 0.5000 0.5000 0.1839
Er4 Er 0.5000 0.5000 0.8161
Zn1 Zn 0.5000 0.5000 0.5000
```


Entry b
VASP calculation (PBE) on a relaxed TbEr4Zn crystal.

The structure in CIF format:
```
data_TbEr4Zn
_chemical_formula_sum 'Tb1 Er4 Zn1'
_space_group_name_H-M_alt 'P 1'
_space_group_IT_number 1
_cell_length_a 3.5438
_cell_length_b 4.8830
_cell_length_c 9.9126
_cell_angle_alpha 90.00
_cell_angle_beta 98.31
_cell_angle_gamma 90.00
loop_
_space_group_symop_operation_xyz
'x,y,z'
loop_
_atom_site_label
_atom_site_type_symbol
_atom_site_fract_x
_atom_site_fract_y
_atom_site_fract_z
Tb1 Tb 0.0000 0.0000 0.0000
Er1 Er 0.1410 0.0000 0.3535
Er2 Er 0.4257 0.5000 0.8158
Er3 Er 0.5742 0.5000 0.1847
Er4 Er 0.8586 0.0000 0.6462
Zn1 Zn 0.4953 0.5000 0.5005
```


Most stable to least stable, the ends of the list are entry a and entry b.


Entry a
VASP calculation (PBE) on a relaxed TbErZn crystal.

The structure in CIF format:
```
data_TbErZn
_chemical_formula_sum 'Tb1 Er1 Zn1'
_space_group_name_H-M_alt 'P 1'
_space_group_IT_number 1
_cell_length_a 4.9778
_cell_length_b 4.9778
_cell_length_c 3.6262
_cell_angle_alpha 90.00
_cell_angle_beta 90.00
_cell_angle_gamma 120.00
loop_
_space_group_symop_operation_xyz
'x,y,z'
loop_
_atom_site_label
_atom_site_type_symbol
_atom_site_fract_x
_atom_site_fract_y
_atom_site_fract_z
Tb1 Tb 0.0000 0.0000 0.0000
Er1 Er 0.3333 0.6667 0.4633
Zn1 Zn 0.6667 0.3333 0.6961
```


Entry b
VASP calculation (PBE) on a relaxed TbErZn crystal.

The structure in CIF format:
```
data_TbErZn
_chemical_formula_sum 'Tb1 Er1 Zn1'
_space_group_name_H-M_alt 'P 1'
_space_group_IT_number 1
_cell_length_a 4.9321
_cell_length_b 4.9321
_cell_length_c 4.9321
_cell_angle_alpha 60.00
_cell_angle_beta 60.00
_cell_angle_gamma 60.00
loop_
_space_group_symop_operation_xyz
'x,y,z'
loop_
_atom_site_label
_atom_site_type_symbol
_atom_site_fract_x
_atom_site_fract_y
_atom_site_fract_z
Tb1 Tb 0.0000 0.0000 0.0000
Er1 Er 0.5000 0.5000 0.5000
Zn1 Zn 0.7500 0.7500 0.7500
```


Most stable to least stable, the ends of the list are entry a and entry b.


Entry a
VASP calculation (PBE) on a relaxed Tb4ErZn crystal.

The structure in CIF format:
```
data_Tb4ErZn
_chemical_formula_sum 'Tb8 Er2 Zn2'
_space_group_name_H-M_alt 'P 1'
_space_group_IT_number 1
_cell_length_a 8.0636
_cell_length_b 8.0636
_cell_length_c 6.2288
_cell_angle_alpha 100.02
_cell_angle_beta 100.02
_cell_angle_gamma 114.00
loop_
_space_group_symop_operation_xyz
'x,y,z'
loop_
_atom_site_label
_atom_site_type_symbol
_atom_site_fract_x
_atom_site_fract_y
_atom_site_fract_z
Tb1 Tb 0.0801 0.7138 0.9516
Tb2 Tb 0.1639 0.3912 0.6238
Tb3 Tb 0.2862 0.9199 0.5484
Tb4 Tb 0.3912 0.1639 0.1238
Tb5 Tb 0.6088 0.8361 0.8762
Tb6 Tb 0.7138 0.0801 0.4516
Tb7 Tb 0.8361 0.6088 0.3762
Tb8 Tb 0.9199 0.2862 0.0484
Er1 Er 0.4057 0.5943 0.2500
Er2 Er 0.5943 0.4057 0.7500
Zn1 Zn 0.0000 0.0000 0.2500
Zn2 Zn 0.0000 0.0000 0.7500
```


Entry b
VASP calculation (PBE) on a relaxed Tb4ErZn crystal.

The structure in CIF format:
```
data_Tb4ErZn
_chemical_formula_sum 'Tb4 Er1 Zn1'
_space_group_name_H-M_alt 'P 1'
_space_group_IT_number 1
_cell_length_a 3.5569
_cell_length_b 3.5569
_cell_length_c 13.6697
_cell_angle_alpha 90.00
_cell_angle_beta 90.00
_cell_angle_gamma 90.00
loop_
_space_group_symop_operation_xyz
'x,y,z'
loop_
_atom_site_label
_atom_site_type_symbol
_atom_site_fract_x
_atom_site_fract_y
_atom_site_fract_z
Tb1 Tb 0.0000 0.0000 0.1311
Tb2 Tb 0.0000 0.0000 0.8689
Tb3 Tb 0.5000 0.5000 0.3181
Tb4 Tb 0.5000 0.5000 0.6819
Er1 Er 0.0000 0.0000 0.5000
Zn1 Zn 0.5000 0.5000 0.0000
```


Most stable to least stable, the ends of the list are entry b and entry a.